{
  "formula": "HoMo2F11",
  "functional": "GGA+U",
  "state": "relaxed",
  "magmom_total_mub_per_cell": 8.0,
  "density_g_cm3": 4.66,
  "total_energy_ev_per_atom": -5.750,
  "lattice": [[6.8274, 0.0000, 3.5587], [3.1191, 7.2225, 2.3444], [0.0625, -0.0476, 8.2087]],
  "species": ["Ho", "Ho", "Mo", "Mo", "Mo", "Mo", "F", "F", "F", "F", "F", "F", "F", "F", "F", "F", "F", "F", "F", "F", "F", "F", "F", "F", "F", "F", "F", "F"],
  "frac_coords": [[0.7500, 0.7500, 0.7500], [0.2500, 0.2500, 0.2500], [0.6416, 0.6813, 0.3187], [0.3584, 0.3187, 0.6813], [0.8584, 0.1813, 0.8187], [0.1416, 0.8187, 0.1813], [0.6349, 0.7037, 0.5620], [0.3651, 0.2963, 0.4380], [0.0994, 0.5620, 0.7037], [0.8651, 0.9380, 0.7963], [0.9006, 0.4380, 0.2963], [0.1349, 0.0620, 0.2037], [0.4006, 0.7963, 0.9380], [0.5994, 0.2037, 0.0620], [0.5000, 0.5000, 0.5000], [0.0000, 0.0000, 0.0000], [0.8684, 0.7849, 0.2151], [0.1316, 0.2151, 0.7849], [0.6316, 0.2849, 0.7151], [0.3684, 0.7151, 0.2849], [0.4548, 0.9571, 0.3225], [0.5452, 0.0429, 0.6775], [0.2656, 0.3225, 0.9571], [0.0452, 0.1775, 0.5429], [0.7344, 0.6775, 0.0429], [0.9548, 0.8225, 0.4571], [0.2344, 0.5429, 0.1775], [0.7656, 0.4571, 0.8225]]
}